1.
Computed, not measured: a relaxed LaYTlIn crystal at the PBE level of DFT.

abc: 7.762 7.762 7.762
angles: 90.00 90.00 90.00
Space group F-43m (No. 216)
Inequivalent atoms, fractional coordinates:
La1 0.000 0.000 0.000
Y1 0.000 0.000 0.500
Tl1 0.250 0.250 0.250
In1 0.250 0.250 0.750

ΔE_f: -0.45 eV per atom
size of the total moment: 0.000 μB/cell
V: 116.9 Å³/f.u.

=====

2.
Computed, not measured: a relaxed AlVNiRh crystal at the PBE level of DFT.

abc: 5.952 5.952 5.952
angles: 90.00 90.00 90.00
Space group F-43m (No. 216)
Inequivalent atoms, fractional coordinates:
Al1 0.000 0.000 0.000
V1 0.000 0.000 0.500
Ni1 0.250 0.250 0.250
Rh1 0.250 0.250 0.750

ΔE_f: -0.50 eV per atom
size of the total moment: 5.631 μB/cell
V: 52.7 Å³/f.u.

=====

3.
Computed, not measured: a relaxed CrSiIrRu crystal at the PBE level of DFT.

abc: 5.976 5.976 5.976
angles: 90.00 90.00 90.00
Space group F-43m (No. 216)
Inequivalent atoms, fractional coordinates:
Cr1 0.000 0.000 0.000
Si1 0.000 0.000 0.500
Ir1 0.250 0.250 0.250
Ru1 0.250 0.250 0.750

raw total energy: -8.640 eV/atom
size of the total moment: 12.032 μB/cell
V: 53.4 Å³/f.u.

=====

4.
Computed, not measured: a relaxed BaSr3Ag4 crystal at the PBE level of DFT.

abc: 6.501 4.858 8.457
angles: 90.00 90.69 90.00
Space group Pm (No. 6)
Inequivalent atoms, fractional coordinates:
Ba1 0.000 0.000 0.000
Sr1 0.234 0.000 0.499
Sr2 0.499 0.500 0.141
Sr3 0.733 0.500 0.636
Ag1 0.252 0.500 0.776
Ag2 0.492 0.000 0.849
Ag3 0.738 0.000 0.361
Ag4 0.986 0.500 0.295

ΔE_f: -0.30 eV per atom
size of the total moment: 0.000 μB/cell
offset from the most stable computed form: 0 meV per atom
V: 267.1 Å³/f.u.

=====

5.
Computed, not measured: a relaxed TaIr2Pt crystal at the PBE level of DFT.

abc: 6.333 6.333 6.333
angles: 90.00 90.00 90.00
Space group F-43m (No. 216)
Inequivalent atoms, fractional coordinates:
Ta1 0.000 0.000 0.000
Ir1 0.000 0.000 0.500
Ir2 0.250 0.250 0.750
Pt1 0.250 0.250 0.250

ΔE_f: -0.12 eV per atom
size of the total moment: 0.002 μB/cell
offset from the most stable computed form: 530 meV per atom
V: 63.5 Å³/f.u.

=====

6.
Computed, not measured: a relaxed TiAsRhSe2 crystal at the PBE level of DFT.

abc: 4.815 4.815 4.874
angles: 90.00 90.00 90.00
Space group P4/mmm (No. 123)
Inequivalent atoms, fractional coordinates:
Ti1 0.000 0.000 0.000
As1 0.000 0.000 0.500
Rh1 0.500 0.500 0.500
Se1 0.000 0.500 0.000

size of the total moment: 0.867 μB/cell
offset from the most stable computed form: 0 meV per atom
V: 113.0 Å³/f.u.

=====

7.
Computed, not measured: a relaxed V4Si2Mo crystal at the PBE level of DFT.

abc: 4.415 4.415 13.033
angles: 90.00 90.00 90.00
Space group I4/mmm (No. 139)
Inequivalent atoms, fractional coordinates:
V1 0.000 0.000 0.187
V2 0.000 0.500 0.000
Si1 0.000 0.000 0.377
Mo1 0.000 0.000 0.000

raw total energy: -7.368 eV/atom
size of the total moment: 7.464 μB/cell
V: 127.0 Å³/f.u.

=====

8.
Computed, not measured: a relaxed MgBeAg2 crystal at the PBE level of DFT.

abc: 2.9671 2.9671 25.9376
angles: 90.00 90.00 120.00
Space group R3m (No. 160, hexagonal axes)
Inequivalent atoms, fractional coordinates:
Mg1 0.0000 0.0000 0.0000
Be1 0.0000 0.0000 0.7480
Ag1 0.0000 0.0000 0.2429
Ag2 0.0000 0.0000 0.4827

ΔE_f: 0.21 eV per atom
size of the total moment: 0.000 μB/cell
offset from the most stable computed form: 225 meV per atom
V: 65.9 Å³/f.u.

=====

9.
Computed, not measured: a relaxed Tm2B2Ru crystal at the PBE level of DFT.

abc: 10.874 3.652 9.169
angles: 90.00 119.18 90.00
Space group C2/m (No. 12)
Inequivalent atoms, fractional coordinates:
Tm1 0.008 0.000 0.180
Tm2 0.175 0.000 0.599
B1 0.012 0.500 0.604
B2 0.163 0.500 0.067
Ru1 0.223 0.500 0.865

ΔE_f: -0.41 eV per atom
size of the total moment: 0.000 μB/cell
V: 79.5 Å³/f.u.

=====

10.
Computed, not measured: a relaxed BPtCl crystal at the PBE level of DFT.

abc: 20.182 3.259 6.521
angles: 90.00 94.84 90.00
Space group C2/m (No. 12)
Inequivalent atoms, fractional coordinates:
B1 0.247 0.000 0.352
B2 0.248 0.500 0.140
Pt1 0.181 0.000 0.083
Pt2 0.184 0.000 0.595
Cl1 0.088 0.000 0.348
Cl2 0.100 0.500 0.865

raw total energy: -5.188 eV/atom
size of the total moment: 0.000 μB/cell
V: 53.4 Å³/f.u.

=====

11.
Computed, not measured: a relaxed Nd6YMg2 crystal at the PBE level of DFT.

abc: 13.587 13.187 6.723
angles: 90.00 104.45 90.00
Space group C2/c (No. 15)
Inequivalent atoms, fractional coordinates:
Nd1 0.030 0.143 0.001
Nd2 0.120 0.407 0.827
Nd3 0.243 0.208 0.727
Y1 0.000 0.361 0.250
Mg1 0.185 0.027 0.368

ΔE_f: 0.07 eV per atom
size of the total moment: 0.000 μB/cell
offset from the most stable computed form: 6 meV per atom
V: 291.6 Å³/f.u.